[1]
DFT (PBE) results for crystalline YSb2Pd2 at its relaxed geometry.

Calculated values
SG ... I4/mmm, No. 139
Calculated volume ... 23.0 Å³ per atom
Calculated total energy ... -27.9 eV/cell
D(E_F) ... 3.703 states/eV per cell

Lattice parameters (Å, degrees): 5.864 5.864 5.864 130.14 130.14 73.19
Atoms (fractional coordinates):
Y 0.000 0.000 0.000
Sb 0.250 0.750 0.500
Sb 0.750 0.250 0.500
Pd 0.359 0.359 0.000
Pd 0.641 0.641 0.000

---

[2]
DFT (PBE) results for crystalline YSb2Pd2 at its relaxed geometry.

Calculated values
SG ... P4/mbm, No. 127
Calculated volume ... 21.6 Å³ per atom
Calculated total energy ... -55.3 eV/cell
D(E_F) ... 5.018 states/eV per cell

Lattice parameters (Å, degrees): 8.059 8.059 3.319 90.00 90.00 90.00
Atoms (fractional coordinates):
Y 0.000 0.000 0.000
Y 0.500 0.500 0.000
Sb 0.150 0.350 0.000
Sb 0.350 0.850 0.000
Sb 0.650 0.150 0.000
Sb 0.850 0.650 0.000
Pd 0.145 0.645 0.500
Pd 0.355 0.145 0.500
Pd 0.645 0.855 0.500
Pd 0.855 0.355 0.500

---

[3]
DFT (PBE) results for crystalline YbSbPd2 at its relaxed geometry.

Calculated values
SG ... Fm-3m, No. 225
Calculated volume ... 19.6 Å³ per atom
Calculated total energy ... -19.0 eV/cell
D(E_F) ... 16.632 states/eV per cell

Lattice parameters (Å, degrees): 4.803 4.803 4.803 60.00 60.00 60.00
Atoms (fractional coordinates):
Yb 0.000 0.000 0.000
Sb 0.500 0.500 0.500
Pd 0.250 0.250 0.250
Pd 0.750 0.750 0.750

---

[4]
DFT (PBE) results for crystalline Zn2SbPd at its relaxed geometry.

Calculated values
SG ... I-42d, No. 122
Calculated volume ... 19.2 Å³ per atom
Calculated total energy ... -24.6 eV/cell
D(E_F) ... 3.549 states/eV per cell

Lattice parameters (Å, degrees): 9.616 9.616 9.616 155.40 155.40 35.07
Atoms (fractional coordinates):
Zn 0.072 0.625 0.947
Zn 0.375 0.322 0.447
Zn 0.678 0.125 0.053
Zn 0.875 0.928 0.553
Sb 0.250 0.750 0.500
Sb 0.500 0.500 0.000
Pd 0.000 0.000 0.000
Pd 0.750 0.250 0.500

---

What is the calculated volume in the third record?
19.6 Å³ per atom